Here is a geometry-optimized CeHf2Hg structure from Alexandria via LeMat-Bulk. Energies are from PBE.

Unit cell a=3.274 b=3.274 c=8.760 alpha=90.00 beta=90.00 gamma=90.00
Sites, in units of the cell vectors:
Ce  0.000  0.000  0.000
Hf  0.500  0.500  0.269
Hf  0.500  0.500  0.731
Hg  0.000  0.000  0.500

Polymorph energy (0 for the lowest one), meV per atom: 0
E_form, eV/atom: 0.03
Magnetization, μB/cell: 0.08
V, Å³/cell: 94
Space-group type: P4/mmm